[1]
Density functional theory data (PBEsol) for crystalline BeAl2Os2 at its relaxed geometry.

total magnetic moment	0.0	μB/f.u.
ΔE_f	439.6	meV per atom

POSCAR file:
```
BeAl2Os2
1.0
3.364 0.000 0.000
0.000 3.364 0.000
-1.682 -1.682 6.335
Al Os Be
2 2 1
Cartesian
1.682 0.000 3.167 Al
0.000 1.682 3.167 Al
0.000 0.000 5.065 Os
1.682 1.682 1.270 Os
0.000 0.000 0.000 Be
```

[2]
Density functional theory data (PBEsol) for crystalline Be2AlOs at its relaxed geometry.

total magnetic moment	0.0	μB/f.u.
ΔE_f	-258.9	meV per atom

POSCAR file:
```
Be2AlOs
1.0
3.079 0.000 0.000
0.000 3.838 0.000
-1.540 -1.919 3.780
Be Os Al
2 1 1
Cartesian
0.000 0.000 1.841 Be
1.540 1.919 1.939 Be
1.540 0.000 0.000 Os
0.000 1.919 0.000 Al
```

[3]
Density functional theory data (PBEsol) for crystalline BeAlOs at its relaxed geometry.

total magnetic moment	0.0	μB/f.u.
ΔE_f	-167.6	meV per atom

POSCAR file:
```
BeAlOs
1.0
2.720 0.000 0.000
0.000 3.952 0.000
0.000 -1.976 3.422
Al Os Be
1 1 1
Cartesian
2.560 0.000 0.000 Al
1.149 1.976 1.141 Os
1.731 0.000 2.282 Be
```

[4]
Density functional theory data (PBEsol) for crystalline ZrBeAlOs2 at its relaxed geometry.

total magnetic moment	0.0	μB/f.u.
ΔE_f	2337.8	meV per atom

POSCAR file:
```
ZrBeAlOs2
1.0
-2.132 0.251 -4.223
4.056 -1.221 -2.121
-1.249 -4.756 0.349
Zr Os Be Al
1 2 1 1
Cartesian
0.000 0.000 0.000 Zr
2.028 -0.611 -1.060 Os
-1.066 0.125 -2.111 Os
0.337 -2.863 -2.998 Be
-0.625 -2.378 0.174 Al
```

[5]
Density functional theory data (PBEsol) for crystalline BeAlP2 at its relaxed geometry.

total magnetic moment	0.0	μB/f.u.
ΔE_f	302.7	meV per atom

POSCAR file:
```
BeAlP2
1.0
2.598 -0.002 0.000
-0.473 2.555 0.000
0.000 0.000 8.399
Al P Be
1 2 1
Cartesian
0.000 0.000 3.974 Al
1.063 1.276 5.994 P
0.000 0.000 0.542 P
1.063 1.276 2.088 Be
```

[6]
Density functional theory data (PBEsol) for crystalline BeAl2P at its relaxed geometry.

total magnetic moment	0.0	μB/f.u.
ΔE_f	141.1	meV per atom

POSCAR file:
```
BeAl2P
1.0
-2.799 -0.446 1.130
-1.115 -0.184 -2.835
0.945 -5.898 0.011
Al Be P
2 1 1
Cartesian
-1.693 -1.964 -0.849 Al
0.917 -5.727 0.011 Al
0.525 -3.279 0.006 Be
-1.302 -4.405 -0.845 P
```

[7]
Density functional theory data (PBEsol) for crystalline BeAlP2 at its relaxed geometry.

total magnetic moment	0.0	μB/f.u.
ΔE_f	-194.1	meV per atom

POSCAR file:
```
BeAlP2
1.0
3.610 0.000 0.000
0.000 3.607 0.146
0.000 -0.218 5.366
Al P Be
1 2 1
Cartesian
0.000 2.145 2.774 Al
0.000 0.279 4.225 P
1.805 2.208 1.251 P
1.805 0.451 0.018 Be
```

[8]
Density functional theory data (PBEsol) for crystalline BeAlP at its relaxed geometry.

total magnetic moment	0.0	μB/f.u.
ΔE_f	337.9	meV per atom

POSCAR file:
```
BeAlP
1.0
3.989 0.000 0.000
1.994 3.454 0.000
1.994 1.151 3.257
P Be Al
1 1 1
Cartesian
1.994 1.151 0.814 P
3.989 2.303 1.628 Be
0.000 0.000 0.000 Al
```